--- A ---
# K2LaY (PBE-GGA, relaxed)
# Size of the total moment ... 0.4710 μB/atom
data_K2LaY
_chemical_formula_sum 'K8 La4 Y4'
_cell_length_a 8.954
_cell_length_b 8.954
_cell_length_c 8.954
_cell_angle_alpha 90.00
_cell_angle_beta 90.00
_cell_angle_gamma 90.00
_symmetry_space_group_name_H-M 'F m -3 m'
_symmetry_Int_Tables_number 225
_symmetry_space_group_name_Hall '-F 4 2 3'
loop_
_atom_site_label
_atom_site_type_symbol
_atom_site_fract_x
_atom_site_fract_y
_atom_site_fract_z
_atom_site_occupancy
K1 K 0.250 0.250 0.250 1
La1 La 0.000 0.000 0.000 1
Y1 Y 0.000 0.000 0.500 1

---

--- B ---
# K2LaY (PBE-GGA, relaxed)
# Size of the total moment ... 0.0035 μB/atom
data_K2LaY
_chemical_formula_sum 'K4 La2 Y2'
_cell_length_a 5.050
_cell_length_b 5.050
_cell_length_c 14.249
_cell_angle_alpha 90.00
_cell_angle_beta 90.00
_cell_angle_gamma 90.00
_symmetry_space_group_name_H-M 'I 4/m m m'
_symmetry_Int_Tables_number 139
_symmetry_space_group_name_Hall '-I 4 2'
loop_
_atom_site_label
_atom_site_type_symbol
_atom_site_fract_x
_atom_site_fract_y
_atom_site_fract_z
_atom_site_occupancy
K1 K 0.000 0.500 0.250 1
La1 La 0.000 0.000 0.000 1
Y1 Y 0.000 0.000 0.500 1

---

--- C ---
# K2LaY (PBE-GGA, relaxed)
# Size of the total moment ... 0.0038 μB/atom
data_K2LaY
_chemical_formula_sum 'K4 La2 Y2'
_cell_length_a 7.345
_cell_length_b 14.486
_cell_length_c 3.705
_cell_angle_alpha 90.00
_cell_angle_beta 117.12
_cell_angle_gamma 90.00
_symmetry_space_group_name_H-M 'C 1 2/m 1'
_symmetry_Int_Tables_number 12
_symmetry_space_group_name_Hall '-C 2y'
loop_
_atom_site_label
_atom_site_type_symbol
_atom_site_fract_x
_atom_site_fract_y
_atom_site_fract_z
_atom_site_occupancy
K1 K 0.250 0.250 0.000 1
La1 La 0.000 0.000 0.500 1
Y1 Y 0.000 0.500 0.500 1

---

--- D ---
# K2LaY (PBE-GGA, relaxed)
# Size of the total moment ... 0.0001 μB/atom
data_K2LaY
_chemical_formula_sum 'K2 La1 Y1'
_cell_length_a 3.530
_cell_length_b 7.119
_cell_length_c 7.173
_cell_angle_alpha 90.00
_cell_angle_beta 90.00
_cell_angle_gamma 90.00
_symmetry_space_group_name_H-M 'P m m m'
_symmetry_Int_Tables_number 47
_symmetry_space_group_name_Hall '-P 2 2'
loop_
_atom_site_label
_atom_site_type_symbol
_atom_site_fract_x
_atom_site_fract_y
_atom_site_fract_z
_atom_site_occupancy
K1 K 0.000 0.000 0.245 1
La1 La 0.500 0.500 0.500 1
Y1 Y 0.500 0.500 0.000 1

---

Tell me which of them is the least stable. Sure, it is A.

---

--- A ---
# K2LaY (PBE-GGA, relaxed)
# Size of the total moment ... 0.0001 μB/atom
data_K2LaY
_chemical_formula_sum 'K2 La1 Y1'
_cell_length_a 5.042
_cell_length_b 5.042
_cell_length_c 7.128
_cell_angle_alpha 90.00
_cell_angle_beta 90.00
_cell_angle_gamma 90.00
_symmetry_space_group_name_H-M 'P 4/m m m'
_symmetry_Int_Tables_number 123
_symmetry_space_group_name_Hall '-P 4 2'
loop_
_atom_site_label
_atom_site_type_symbol
_atom_site_fract_x
_atom_site_fract_y
_atom_site_fract_z
_atom_site_occupancy
K1 K 0.000 0.500 0.000 1
La1 La 0.000 0.000 0.500 1
Y1 Y 0.500 0.500 0.500 1

---

--- B ---
# K2LaY (PBE-GGA, relaxed)
# Size of the total moment ... 0.0001 μB/atom
data_K2LaY
_chemical_formula_sum 'K2 La1 Y1'
_cell_length_a 3.702
_cell_length_b 7.241
_cell_length_c 6.544
_cell_angle_alpha 90.00
_cell_angle_beta 92.77
_cell_angle_gamma 90.00
_symmetry_space_group_name_H-M 'P 1 2/m 1'
_symmetry_Int_Tables_number 10
_symmetry_space_group_name_Hall '-P 2y'
loop_
_atom_site_label
_atom_site_type_symbol
_atom_site_fract_x
_atom_site_fract_y
_atom_site_fract_z
_atom_site_occupancy
K1 K 0.250 0.000 0.246 1
La1 La 0.000 0.500 0.500 1
Y1 Y 0.500 0.500 0.000 1

---

Tell me which of them is the least stable. Sure, it is A.

---

--- A ---
# KLa2Zn2 (PBE-GGA, relaxed)
# Size of the total moment ... 0.0000 μB/atom
data_KLa2Zn2
_chemical_formula_sum 'K2 La4 Zn4'
_cell_length_a 9.275
_cell_length_b 9.275
_cell_length_c 3.492
_cell_angle_alpha 90.00
_cell_angle_beta 90.00
_cell_angle_gamma 90.00
_symmetry_space_group_name_H-M 'P 4/m b m'
_symmetry_Int_Tables_number 127
_symmetry_space_group_name_Hall '-P 4 2ab'
loop_
_atom_site_label
_atom_site_type_symbol
_atom_site_fract_x
_atom_site_fract_y
_atom_site_fract_z
_atom_site_occupancy
K1 K 0.000 0.000 0.000 1
La1 La 0.122 0.378 0.000 1
Zn1 Zn 0.169 0.669 0.500 1

---

--- B ---
# KLa2Zn2 (PBE-GGA, relaxed)
# Size of the total moment ... 0.0000 μB/atom
data_KLa2Zn2
_chemical_formula_sum 'K2 La4 Zn4'
_cell_length_a 5.484
_cell_length_b 5.484
_cell_length_c 11.290
_cell_angle_alpha 90.00
_cell_angle_beta 90.00
_cell_angle_gamma 90.00
_symmetry_space_group_name_H-M 'I 4/m m m'
_symmetry_Int_Tables_number 139
_symmetry_space_group_name_Hall '-I 4 2'
loop_
_atom_site_label
_atom_site_type_symbol
_atom_site_fract_x
_atom_site_fract_y
_atom_site_fract_z
_atom_site_occupancy
K1 K 0.000 0.000 0.000 1
La1 La 0.000 0.000 0.364 1
Zn1 Zn 0.000 0.500 0.250 1

---

--- C ---
# KLa2Zn2 (PBE-GGA, relaxed)
# Size of the total moment ... 0.1042 μB/atom
data_KLa2Zn2
_chemical_formula_sum 'K2 La4 Zn4'
_cell_length_a 9.307
_cell_length_b 9.307
_cell_length_c 3.536
_cell_angle_alpha 90.00
_cell_angle_beta 90.00
_cell_angle_gamma 90.00
_symmetry_space_group_name_H-M 'P 4/m b m'
_symmetry_Int_Tables_number 127
_symmetry_space_group_name_Hall '-P 4 2ab'
loop_
_atom_site_label
_atom_site_type_symbol
_atom_site_fract_x
_atom_site_fract_y
_atom_site_fract_z
_atom_site_occupancy
K1 K 0.000 0.000 0.000 1
La1 La 0.155 0.345 0.500 1
Zn1 Zn 0.134 0.634 0.000 1

---

Tell me which of them is the least stable. Sure, it is B.

---

--- A ---
# KLa3Zn (PBE-GGA, relaxed)
# Size of the total moment ... 0.0000 μB/atom
data_KLa3Zn
_chemical_formula_sum 'K1 La3 Zn1'
_cell_length_a 5.637
_cell_length_b 5.637
_cell_length_c 5.637
_cell_angle_alpha 90.00
_cell_angle_beta 90.00
_cell_angle_gamma 90.00
_symmetry_space_group_name_H-M 'P m -3 m'
_symmetry_Int_Tables_number 221
_symmetry_space_group_name_Hall '-P 4 2 3'
loop_
_atom_site_label
_atom_site_type_symbol
_atom_site_fract_x
_atom_site_fract_y
_atom_site_fract_z
_atom_site_occupancy
K1 K 0.000 0.000 0.000 1
La1 La 0.000 0.000 0.500 1
Zn1 Zn 0.500 0.500 0.500 1

---

--- B ---
# KLa3Zn (PBE-GGA, relaxed)
# Size of the total moment ... 0.0001 μB/atom
data_KLa3Zn
_chemical_formula_sum 'K1 La3 Zn1'
_cell_length_a 5.954
_cell_length_b 5.954
_cell_length_c 5.954
_cell_angle_alpha 90.00
_cell_angle_beta 90.00
_cell_angle_gamma 90.00
_symmetry_space_group_name_H-M 'P m -3 m'
_symmetry_Int_Tables_number 221
_symmetry_space_group_name_Hall '-P 4 2 3'
loop_
_atom_site_label
_atom_site_type_symbol
_atom_site_fract_x
_atom_site_fract_y
_atom_site_fract_z
_atom_site_occupancy
K1 K 0.000 0.000 0.000 1
La1 La 0.000 0.500 0.500 1
Zn1 Zn 0.500 0.500 0.500 1

---

Tell me which of them is the least stable. Sure, it is A.